P:
Entry from the Alexandria database: a geometry-optimized BeIr2Br structure (GGA-PBEsol).

Structure (POSCAR):
```
BeIr2Br
1.0
0.000 3.021 3.021
3.021 0.000 3.021
3.021 3.021 0.000
Be Ir Br
1 2 1
Cartesian
0.000 0.000 0.000
1.510 1.510 1.510
4.531 4.531 4.531
3.021 3.021 3.021
```

Crystal system: cubic
Space group: Fm-3m, No. 225



Q:
Entry from the Alexandria database: a geometry-optimized BeIr2Br structure (GGA-PBEsol).

Structure (POSCAR):
```
BeIr2Br
1.0
2.721 0.000 0.000
0.000 3.547 0.000
-1.216 0.000 6.975
Be Ir Br
1 2 1
Cartesian
0.000 0.000 0.000
0.146 1.773 6.135
1.506 0.000 4.654
1.505 1.773 2.906
```

Crystal system: monoclinic
Space group: Pm, No. 6



Short version: P is the least stable of them.